Entry from the Alexandria database: a relaxed Li5MnO4 crystal (PBEsol).

Computed properties:
- E_tot (Ry per atom) = -0.430
- space group = Pmn2_1, No. 31
- E_form (uncorrected) (eV/atom) = -1.797
- magnetic moment (μB per formula unit) = 4.00
- polymorph energy (0 for the lowest one) (eV per atom) = 0.012

abc: 4.9402 5.0794 7.1879
angles: 90.00 90.00 90.00
Last column: magnetic moment on the atom in μB.
Element x y z (fractional)
Li 0.2300 0.6719 0.5000  0.00
Li 0.9392 0.0772 0.3260  0.00
Li 0.4392 0.9228 0.1740  0.00
Li 0.7707 0.5844 0.6880  0.00
Li 0.4392 0.9228 0.8260  0.00
Li 0.7300 0.3281 0.0000  0.00
Li 0.2707 0.4156 0.8120  0.00
Li 0.7707 0.5844 0.3120  0.00
Li 0.9392 0.0772 0.6740  0.00
Li 0.2707 0.4156 0.1880  0.00
Mn 0.4829 0.1573 0.5000  3.35
Mn 0.9829 0.8427 0.0000  3.35
O 0.1000 0.7556 0.7585  0.07
O 0.1229 0.1824 0.0000  0.08
O 0.1000 0.7556 0.2415  0.07
O 0.6000 0.2444 0.7415  0.07
O 0.1363 0.3019 0.5000  0.09
O 0.6363 0.6981 0.0000  0.09
O 0.6000 0.2444 0.2585  0.07
O 0.6229 0.8176 0.5000  0.08



Entry from the Alexandria database: a relaxed Li5Mn3O8 crystal (PBEsol).

Computed properties:
- E_tot (Ry per atom) = -0.514
- space group = P2/m, No. 10
- E_form (uncorrected) (eV/atom) = -1.922
- magnetic moment (μB per formula unit) = 3.25
- polymorph energy (0 for the lowest one) (eV per atom) = 0.035

abc: 2.8143 4.9935 9.5440
angles: 101.07 90.00 90.00
Last column: magnetic moment on the atom in μB.
Element x y z (fractional)
Li 0.5000 0.0000 0.0000  0.01
Li 0.5000 0.2442 0.7584  0.00
Li 0.0000 0.0000 0.5000  0.00
Li 0.5000 0.7558 0.2416  0.00
Li 0.0000 0.5000 0.0000  0.00
Mn 0.0000 0.7595 0.7586  2.50
Mn 0.0000 0.2405 0.2414  2.50
Mn 0.5000 0.5000 0.5000  -2.24
O 0.5000 0.3683 0.1387  0.03
O 0.5000 0.6317 0.8613  0.03
O 0.0000 0.3957 0.6158  -0.03
O 0.0000 0.0944 0.8615  0.15
O 0.0000 0.6043 0.3842  -0.03
O 0.5000 0.1537 0.3725  0.00
O 0.0000 0.9056 0.1385  0.15
O 0.5000 0.8463 0.6275  0.00



Entry from the Alexandria database: a relaxed Li13Mn8O24 crystal (PBEsol).

Computed properties:
- E_tot (Ry per atom) = -0.512
- space group = P-1, No. 2
- E_form (uncorrected) (eV/atom) = -1.869
- magnetic moment (μB per formula unit) = 21.00

abc: 4.8724 8.4619 9.9158
angles: 72.85 80.17 89.69
Last column: magnetic moment on the atom in μB.
Element x y z (fractional)
O 0.5886 0.9622 0.1134  0.01
O 0.1396 0.1405 0.6149  0.05
O 0.3551 0.7241 0.8880  0.01
O 0.6469 0.6457 0.6150  0.02
O 0.0906 0.4607 0.6145  0.03
O 0.3531 0.3543 0.3850  0.02
O 0.1505 0.7739 0.1147  0.02
O 0.0883 0.4604 0.1133  0.01
O 0.3544 0.7232 0.3871  0.00
O 0.8604 0.8595 0.3851  0.05
O 0.1447 0.1475 0.1136  0.02
O 0.4114 0.0378 0.8866  0.01
O 0.3497 0.3525 0.8836  0.03
O 0.8495 0.2261 0.8853  0.02
O 0.9117 0.5396 0.8867  0.01
O 0.1419 0.7811 0.6131  0.05
O 0.6449 0.2759 0.1120  0.01
O 0.6032 0.9619 0.6112  0.04
O 0.8553 0.8525 0.8864  0.02
O 0.3968 0.0381 0.3888  0.04
O 0.9094 0.5393 0.3855  0.03
O 0.6503 0.6475 0.1164  0.03
O 0.6456 0.2768 0.6129  0.00
O 0.8581 0.2189 0.3869  0.05
Li 0.7545 0.7515 0.2507  0.00
Li 0.7226 0.4238 0.7492  0.00
Li 0.7597 0.0752 0.2463  0.00
Li 0.7320 0.4224 0.2514  0.00
Li 0.7741 0.0780 0.7556  0.00
Li 0.2259 0.9220 0.2444  0.00
Li 0.0000 0.0000 0.5000  0.01
Li 0.7462 0.7437 0.7560  0.00
Li 0.2403 0.9248 0.7537  0.00
Li 0.2455 0.2485 0.7493  0.00
Li 0.2680 0.5776 0.7486  0.00
Li 0.2538 0.2563 0.2440  0.00
Li 0.2774 0.5762 0.2508  0.00
Mn 0.4992 0.8308 0.5002  2.56
Mn 0.0057 0.6655 0.0011  2.38
Mn 0.9943 0.3345 0.9989  2.38
Mn 0.0044 0.6629 0.5002  2.51
Mn 0.5008 0.1692 0.4998  2.56
Mn 0.4987 0.1665 0.9989  2.39
Mn 0.9956 0.3371 0.4998  2.51
Mn 0.5013 0.8335 0.0011  2.39



Entry from the Alexandria database: a relaxed Li4MnO3 crystal (PBEsol).

Computed properties:
- E_tot (Ry per atom) = -0.429
- space group = Cc, No. 9
- E_form (uncorrected) (eV/atom) = -1.663
- magnetic moment (μB per formula unit) = 3.80

abc: 4.9824 5.5622 6.8133
angles: 108.35 90.00 116.61
Last column: magnetic moment on the atom in μB.
Element x y z (fractional)
Li 0.7166 0.7370 0.0198  0.00
Li 0.9684 0.2238 0.4385  0.00
Li 0.5724 0.4478 0.6400  0.00
Li 0.5042 0.5905 0.3431  0.00
Li 0.2562 0.2237 0.9385  0.00
Li 0.0212 0.7370 0.5197  0.00
Li 0.8763 0.4477 0.1400  0.00
Li 0.0873 0.5906 0.8431  0.00
Mn 0.5887 0.9663 0.7462  3.34
Mn 0.3783 0.9662 0.2462  3.34
O 0.9008 0.8786 0.7857  0.07
O 0.2968 0.5880 0.1009  0.07
O 0.6684 0.3435 0.8624  0.06
O 0.9786 0.8786 0.2858  0.07
O 0.6760 0.3434 0.3624  0.06
O 0.2921 0.5880 0.6009  0.07



Entry from the Alexandria database: a relaxed Li5MnO4 crystal (PBEsol).

Computed properties:
- E_tot (Ry per atom) = -0.430
- space group = Pmmn, No. 59
- E_form (uncorrected) (eV/atom) = -1.788
- magnetic moment (μB per formula unit) = 4.00
- polymorph energy (0 for the lowest one) (eV per atom) = 0.021

abc: 4.4397 6.4862 6.6271
angles: 90.00 90.00 90.00
Last column: magnetic moment on the atom in μB.
Element x y z (fractional)
O 0.5796 0.2542 0.0000  0.08
O 0.5796 0.7458 0.0000  0.08
O 0.0342 0.5000 0.2500  0.09
O 0.4204 0.7542 0.5000  0.08
O 0.4204 0.2458 0.5000  0.08
O 0.9658 0.0000 0.2500  0.09
O 0.0342 0.5000 0.7500  0.09
O 0.9658 0.0000 0.7500  0.09
Mn 0.7704 0.0000 0.0000  3.33
Mn 0.2296 0.5000 0.5000  3.33
Li 0.7476 0.2603 0.6982  0.00
Li 0.2524 0.7603 0.1982  0.00
Li 0.7476 0.7397 0.6982  0.00
Li 0.8106 0.5000 0.0000  0.01
Li 0.7476 0.7397 0.3018  0.00
Li 0.7476 0.2603 0.3018  0.00
Li 0.1894 0.0000 0.5000  0.01
Li 0.2524 0.2397 0.8018  0.00
Li 0.2524 0.7603 0.8018  0.00
Li 0.2524 0.2397 0.1982  0.00



Entry from the Alexandria database: a relaxed LiMnO2 crystal (PBEsol).

Computed properties:
- E_tot (Ry per atom) = -0.541
- space group = C2/m, No. 12
- E_form (uncorrected) (eV/atom) = -1.802
- magnetic moment (μB per formula unit) = 4.00

abc: 2.7962 3.0560 5.0162
angles: 78.95 73.82 62.77
Last column: magnetic moment on the atom in μB.
Element x y z (fractional)
O 0.2768 0.2119 0.2345  0.12
O 0.7232 0.7881 0.7655  0.12
Mn 0.0000 0.0000 0.0000  3.58
Li 0.5000 0.5000 0.5000  0.00



Entry from the Alexandria database: a relaxed Li5Mn6O12 crystal (PBEsol).

Computed properties:
- E_tot (Ry per atom) = -0.550
- space group = P1, No. 1
- E_form (uncorrected) (eV/atom) = -1.777
- magnetic moment (μB per formula unit) = 22.89

abc: 6.0373 6.4088 6.3969
angles: 98.13 103.83 111.17
Last column: magnetic moment on the atom in μB.
Element x y z (fractional)
Li 0.7564 0.4877 0.9870  0.00
Li 0.2513 0.8373 0.3351  0.00
Li 0.2065 0.1488 0.6652  0.00
Li 0.2429 0.4930 0.9971  0.00
Li 0.7432 0.8412 0.3403  0.00
O 0.8967 0.9068 0.6841  0.10
O 0.4048 0.5877 0.3483  0.11
O 0.3309 0.8784 0.6779  0.02
O 0.6636 0.4610 0.6516  0.02
O 0.8974 0.2469 0.0256  0.12
O 0.9019 0.5826 0.3539  0.12
O 0.1132 0.0864 0.3239  0.11
O 0.6017 0.0852 0.3086  0.12
O 0.1289 0.4306 0.6561  0.13
O 0.3965 0.2523 0.0108  0.12
O 0.6067 0.7568 0.9804  0.12
O 0.0983 0.7459 0.9849  0.11
Mn 0.0015 0.3303 0.3397  3.57
Mn 0.4990 0.0034 0.9952  3.57
Mn 0.0008 0.6630 0.6692  2.83
Mn 0.9955 0.9977 0.0019  3.56
Mn 0.5036 0.6732 0.6641  3.56
Mn 0.5087 0.3372 0.3324  3.58



Entry from the Alexandria database: a relaxed Li7Mn5O12 crystal (PBEsol).

Computed properties:
- E_tot (Ry per atom) = -0.524
- space group = P-1, No. 2
- E_form (uncorrected) (eV/atom) = -1.897
- magnetic moment (μB per formula unit) = 16.00
- polymorph energy (0 for the lowest one) (eV per atom) = 0.023

abc: 5.8285 5.8497 6.3118
angles: 103.21 102.86 93.82
Last column: magnetic moment on the atom in μB.
Element x y z (fractional)
Mn 0.6581 0.6735 0.6636  2.50
Mn 0.0029 0.5037 0.0042  3.53
Mn 0.6639 0.1631 0.6625  3.53
Mn 0.3334 0.3334 0.3333  2.54
Mn 0.0085 0.9933 0.0031  2.50
Li 0.8332 0.8335 0.3333  0.00
Li 0.8334 0.3333 0.3334  0.00
Li 0.1826 0.1425 0.6611  0.00
Li 0.1651 0.6679 0.6567  0.01
Li 0.3332 0.8333 0.3332  0.01
Li 0.5015 0.9985 0.0100  0.01
Li 0.4843 0.5235 0.0055  0.00
O 0.0876 0.0899 0.3204  0.05
O 0.2171 0.7581 0.9994  0.06
O 0.4099 0.4354 0.6557  0.10
O 0.4495 0.9087 0.6673  0.06
O 0.5790 0.5768 0.3462  0.05
O 0.9186 0.9021 0.6757  0.10
O 0.7847 0.2306 0.9867  0.03
O 0.1032 0.5535 0.3159  0.06
O 0.7480 0.7647 0.9910  0.10
O 0.5636 0.1132 0.3508  0.06
O 0.2568 0.2313 0.0110  0.10
O 0.8819 0.4363 0.6800  0.03



Copy entry 5 word for word.
Entry from the Alexandria database: a relaxed Li5MnO4 crystal (PBEsol).

Computed properties:
- E_tot (Ry per atom) = -0.430
- space group = Pmmn, No. 59
- E_form (uncorrected) (eV/atom) = -1.788
- magnetic moment (μB per formula unit) = 4.00
- polymorph energy (0 for the lowest one) (eV per atom) = 0.021

abc: 4.4397 6.4862 6.6271
angles: 90.00 90.00 90.00
Last column: magnetic moment on the atom in μB.
Element x y z (fractional)
O 0.5796 0.2542 0.0000  0.08
O 0.5796 0.7458 0.0000  0.08
O 0.0342 0.5000 0.2500  0.09
O 0.4204 0.7542 0.5000  0.08
O 0.4204 0.2458 0.5000  0.08
O 0.9658 0.0000 0.2500  0.09
O 0.0342 0.5000 0.7500  0.09
O 0.9658 0.0000 0.7500  0.09
Mn 0.7704 0.0000 0.0000  3.33
Mn 0.2296 0.5000 0.5000  3.33
Li 0.7476 0.2603 0.6982  0.00
Li 0.2524 0.7603 0.1982  0.00
Li 0.7476 0.7397 0.6982  0.00
Li 0.8106 0.5000 0.0000  0.01
Li 0.7476 0.7397 0.3018  0.00
Li 0.7476 0.2603 0.3018  0.00
Li 0.1894 0.0000 0.5000  0.01
Li 0.2524 0.2397 0.8018  0.00
Li 0.2524 0.7603 0.8018  0.00
Li 0.2524 0.2397 0.1982  0.00